Entry 1:
The following is a PBE calculation of a geometry-optimized BaTa2O structure, from Alexandria.

The structure in CIF format:
```
data_BaTa2O
_symmetry_space_group_name_H-M 'P 1'
_symmetry_Int_Tables_number 1
_symmetry_space_group_name_Hall 'P 1'
_cell_length_a 6.551
_cell_length_b 6.551
_cell_length_c 6.555
_cell_angle_alpha 60.02
_cell_angle_beta 60.02
_cell_angle_gamma 90.00
loop_
_atom_site_label
_atom_site_fract_x
_atom_site_fract_y
_atom_site_fract_z
O1 0.500 0.500 0.000
Ta1 0.375 0.625 0.250
Ba1 0.750 0.250 0.500
Ba2 0.000 0.000 0.000
Ta2 0.375 0.125 0.250
Ta3 0.375 0.625 0.750
Ta4 0.875 0.625 0.750
O2 0.250 0.750 0.500
```

Entry 2:
The following is a PBE calculation of a geometry-optimized BaTa3O8 structure, from Alexandria.

The structure in CIF format:
```
data_BaTa3O8
_symmetry_space_group_name_H-M 'P 1'
_symmetry_Int_Tables_number 1
_symmetry_space_group_name_Hall 'P 1'
_cell_length_a 5.526
_cell_length_b 5.526
_cell_length_c 6.943
_cell_angle_alpha 90.00
_cell_angle_beta 90.00
_cell_angle_gamma 120.00
loop_
_atom_site_label
_atom_site_fract_x
_atom_site_fract_y
_atom_site_fract_z
O1 0.312 0.957 0.876
Ta1 0.667 0.333 0.896
O2 0.043 0.355 0.876
O3 0.667 0.333 0.634
O4 0.645 0.688 0.876
O5 0.355 0.312 0.124
O6 0.957 0.645 0.124
O7 0.333 0.667 0.366
Ba1 0.000 0.000 0.500
Ta2 0.000 0.000 0.000
Ta3 0.333 0.667 0.104
O8 0.688 0.043 0.124
```

Entry 3:
The following is a PBE calculation of a geometry-optimized Ba2TbTa3O12 structure, from Alexandria.

The structure in CIF format:
```
data_Ba2TbTa3O12
_symmetry_space_group_name_H-M 'P 1'
_symmetry_Int_Tables_number 1
_symmetry_space_group_name_Hall 'P 1'
_cell_length_a 7.164
_cell_length_b 7.164
_cell_length_c 7.164
_cell_angle_alpha 64.15
_cell_angle_beta 64.15
_cell_angle_gamma 64.15
loop_
_atom_site_label
_atom_site_fract_x
_atom_site_fract_y
_atom_site_fract_z
O1 0.287 0.287 0.912
O2 0.119 0.614 0.119
Ta1 0.000 0.500 0.000
O3 0.881 0.386 0.881
O4 0.881 0.881 0.386
Tb1 0.000 0.000 0.000
O5 0.713 0.713 0.088
Ta2 0.000 0.000 0.500
O6 0.287 0.912 0.287
O7 0.713 0.088 0.713
Ba1 0.625 0.625 0.625
O8 0.386 0.881 0.881
O9 0.088 0.713 0.713
Ba2 0.375 0.375 0.375
O10 0.912 0.287 0.287
O11 0.119 0.119 0.614
Ta3 0.500 0.000 0.000
O12 0.614 0.119 0.119
```

Entry 4:
The following is a PBE calculation of a geometry-optimized Ba2TaTc3O12 structure, from Alexandria.

The structure in CIF format:
```
data_Ba2TaTc3O12
_symmetry_space_group_name_H-M 'P 1'
_symmetry_Int_Tables_number 1
_symmetry_space_group_name_Hall 'P 1'
_cell_length_a 7.427
_cell_length_b 7.427
_cell_length_c 7.427
_cell_angle_alpha 58.76
_cell_angle_beta 58.76
_cell_angle_gamma 58.76
loop_
_atom_site_label
_atom_site_fract_x
_atom_site_fract_y
_atom_site_fract_z
O1 0.076 0.673 0.076
O2 0.327 0.924 0.924
Ba1 0.324 0.324 0.324
Tc1 0.000 0.000 0.500
Tc2 0.000 0.500 0.000
O3 0.673 0.076 0.076
O4 0.936 0.306 0.306
O5 0.076 0.076 0.673
O6 0.694 0.064 0.694
Ba2 0.676 0.676 0.676
O7 0.924 0.924 0.327
O8 0.064 0.694 0.694
O9 0.694 0.694 0.064
Tc3 0.500 0.000 0.000
O10 0.306 0.306 0.936
O11 0.924 0.327 0.924
O12 0.306 0.936 0.306
Ta1 0.000 0.000 0.000
```

Entry 5:
The following is a PBE calculation of a geometry-optimized BaTaTe2O8 structure, from Alexandria.

The structure in CIF format:
```
data_BaTaTe2O8
_symmetry_space_group_name_H-M 'P 1'
_symmetry_Int_Tables_number 1
_symmetry_space_group_name_Hall 'P 1'
_cell_length_a 5.451
_cell_length_b 6.738
_cell_length_c 7.549
_cell_angle_alpha 49.74
_cell_angle_beta 68.84
_cell_angle_gamma 66.14
loop_
_atom_site_label
_atom_site_fract_x
_atom_site_fract_y
_atom_site_fract_z
O1 0.691 0.482 0.136
O2 0.635 0.006 0.206
Ta1 0.000 0.000 0.000
O3 0.918 0.386 0.777
O4 0.309 0.518 0.864
O5 0.365 0.994 0.794
Ba1 0.500 0.500 0.500
Te1 0.721 0.743 0.816
O6 0.152 0.006 0.206
Te2 0.279 0.257 0.184
O7 0.848 0.994 0.794
O8 0.082 0.614 0.223
```

Entry 6:
The following is a PBE calculation of a geometry-optimized Ba2Ta6Te2O21 structure, from Alexandria.

The structure in CIF format:
```
data_Ba2Ta6Te2O21
_symmetry_space_group_name_H-M 'P 1'
_symmetry_Int_Tables_number 1
_symmetry_space_group_name_Hall 'P 1'
_cell_length_a 8.916
_cell_length_b 8.916
_cell_length_c 9.741
_cell_angle_alpha 83.55
_cell_angle_beta 83.55
_cell_angle_gamma 37.59
loop_
_atom_site_label
_atom_site_fract_x
_atom_site_fract_y
_atom_site_fract_z
O1 0.458 0.977 0.670
O2 0.606 0.104 0.053
O3 0.279 0.721 0.500
O4 0.721 0.279 0.500
O5 0.000 0.000 0.000
Ta1 0.479 0.479 0.664
Ta2 0.324 0.324 0.172
O6 0.394 0.896 0.947
O7 0.825 0.307 0.220
Ba1 0.862 0.862 0.528
O8 0.977 0.458 0.670
Ta3 0.521 0.521 0.336
Te1 0.726 0.726 0.247
O9 0.896 0.394 0.947
Ta4 0.676 0.676 0.828
Te2 0.274 0.274 0.753
O10 0.104 0.606 0.053
Ta5 0.099 0.099 0.082
O11 0.542 0.023 0.330
O12 0.642 0.642 0.396
O13 0.693 0.175 0.780
Ba2 0.138 0.138 0.472
O14 0.307 0.825 0.220
O15 0.210 0.210 0.151
Ta6 0.901 0.901 0.918
O16 0.358 0.358 0.604
O17 0.581 0.581 0.722
O18 0.790 0.790 0.849
O19 0.419 0.419 0.278
O20 0.175 0.693 0.780
O21 0.023 0.542 0.330
```

Respective energy relative to the elements, uncorrected values: -186.1, -2604.6, -2727.9, -1969.5, -1764.8, -2602.8 meV/atom.